No. 1
Compound: CsAcSb
Source: the Alexandria database
Functional: PBE-GGA
Structure: relaxed

Cell lengths 4.984, 4.984, 8.790 Å; angles 90.00, 90.00, 120.00 degrees
Fractional positions:
Cs  0.000  0.000  0.078
Sb  0.667  0.333  0.379
Ac  0.333  0.667  0.544

Its spin magnetization is 0.01 Bohr magnetons per cell. For the uncorrected formation energy, the calculation gives -9.73 kcal/mol of atoms.

---

No. 2
Compound: CsAcSb2
Source: the Alexandria database
Functional: PBE-GGA
Structure: relaxed

Cell lengths 5.149, 5.149, 8.962 Å; angles 73.30, 73.30, 60.00 degrees
Fractional positions:
Cs  0.500  0.500  0.500
Sb  0.727  0.727  0.820
Sb  0.273  0.273  0.180
Ac  0.000  0.000  0.000

Its spin magnetization is 0.00 Bohr magnetons per cell. For the uncorrected formation energy, the calculation gives -11.22 kcal/mol of atoms.